No. 1
VASP calculation (PBE) on an optimized crystal structure of Tc3Ru.

The structure in CIF format:
```
data_Tc3Ru
_cell_length_a 5.5094
_cell_length_b 5.5094
_cell_length_c 4.3765
_cell_angle_alpha 90.00
_cell_angle_beta 90.00
_cell_angle_gamma 120.00
_space_group_name_H-M_alt 'P 63/m m c'
_space_group_IT_number 194
_space_group_name_Hall '-P 6c 2c'
loop_
_atom_site_label
_atom_site_fract_x
_atom_site_fract_y
_atom_site_fract_z
Tc1 0.1639 0.3278 0.2500
Ru1 0.3333 0.6667 0.7500
```

Output
energy of formation from the pure elements = -0.133 eV/f.u.
Fermi-level density of states = 9.91 states/eV/cell
crystal system = hexagonal
VASP energy = -10.1267 eV/atom

=====

No. 2
VASP calculation (PBE) on an optimized crystal structure of CsBa2Sr2.

The structure in CIF format:
```
data_CsBa2Sr2
_cell_length_a 5.842
_cell_length_b 5.842
_cell_length_c 21.630
_cell_angle_alpha 90.00
_cell_angle_beta 90.00
_cell_angle_gamma 90.00
_space_group_name_H-M_alt 'I 4/m m m'
_space_group_IT_number 139
_space_group_name_Hall '-I 4 2'
loop_
_atom_site_label
_atom_site_fract_x
_atom_site_fract_y
_atom_site_fract_z
Cs1 0.000 0.000 0.000
Ba1 0.000 0.500 0.250
Sr1 0.000 0.000 0.399
```

Output
energy of formation from the pure elements = 1.325 eV/f.u.
Fermi-level density of states = 18.59 states/eV/cell
crystal system = tetragonal
VASP energy = -1.3476 eV/atom

=====

No. 3
VASP calculation (PBE) on an optimized crystal structure of BaAg6S4.

The structure in CIF format:
```
data_BaAg6S4
_cell_length_a 7.9718
_cell_length_b 7.9718
_cell_length_c 4.1232
_cell_angle_alpha 90.00
_cell_angle_beta 90.00
_cell_angle_gamma 120.00
_space_group_name_H-M_alt 'P -6 m 2'
_space_group_IT_number 187
_space_group_name_Hall 'P -6 2'
loop_
_atom_site_label
_atom_site_fract_x
_atom_site_fract_y
_atom_site_fract_z
Ba1 0.0000 0.0000 0.0000
Ag1 0.2055 0.4109 0.5000
Ag2 0.5434 0.0868 0.0000
S1 0.3333 0.6667 0.0000
S2 0.3533 0.1766 0.5000
```

Output
formation energy without anion corrections = -341 kJ/mol of formula units
Fermi-level density of states = 2.78 states/eV/cell
crystal system = hexagonal
VASP energy = -3.5523 eV/atom

=====

Which of these has the highest VASP energy? CsBa2Sr2